(1)
Compound: Ca2Cd2Sn
Source: the Alexandria database
Functional: GGA-PBE
Structure: optimized geometry

Cell lengths 6.2301, 6.2301, 11.6746 Å; angles 112.57, 112.57, 44.14 degrees
With the nearest neighbours (Å) after each atom.
Fractional coordinates of all 10 atoms:
Ca 0.0121 0.0121 0.3353  7 Cd 3.30-3.69, 3 Sn 3.35-3.37
Ca 0.1877 0.1877 0.1081  5 Cd 3.22-3.46, 2 Sn 3.34
Ca 0.8123 0.8123 0.8919  5 Cd 3.22-3.46, 2 Sn 3.34
Ca 0.9879 0.9879 0.6647  7 Cd 3.30-3.69, 3 Sn 3.35-3.37
Cd 0.3613 0.3613 0.4488  3 Sn 2.90-3.15, 1 Cd 2.92
Cd 0.4674 0.4674 0.1092  1 Sn 2.93, 1 Cd 2.94, 1 Ca 3.22
Cd 0.5326 0.5326 0.8908  1 Sn 2.93, 1 Cd 2.94, 1 Ca 3.22
Cd 0.6387 0.6387 0.5512  3 Sn 2.90-3.15, 1 Cd 2.92
Sn 0.2832 0.2832 0.6774  4 Cd 2.90-3.15
Sn 0.7168 0.7168 0.3226  4 Cd 2.90-3.15



(2)
Compound: Ca5Cd4Sn
Source: the Alexandria database
Functional: GGA-PBE
Structure: optimized geometry

Cell lengths 3.8196, 3.8196, 19.3652 Å; angles 90.00, 90.00, 90.00 degrees
With the nearest neighbours (Å) after each atom.
Fractional coordinates of all 10 atoms:
Ca 0.0000 0.0000 0.0000  8 Cd 3.31
Ca 0.0000 0.0000 0.1993  8 Cd 3.31-3.33
Ca 0.0000 0.0000 0.3982  4 Cd 3.33, 4 Sn 3.34
Ca 0.0000 0.0000 0.6018  4 Cd 3.33, 4 Sn 3.34
Ca 0.0000 0.0000 0.8007  8 Cd 3.31-3.33
Cd 0.5000 0.5000 0.0989  8 Ca 3.31-3.33
Cd 0.5000 0.5000 0.2977  8 Ca 3.31-3.33
Cd 0.5000 0.5000 0.7023  8 Ca 3.31-3.33
Cd 0.5000 0.5000 0.9011  8 Ca 3.31-3.33
Sn 0.5000 0.5000 0.5000  8 Ca 3.34



M_tot? In order: 0.0 0.0 μB/f.u..
Calculated volume? In order: 28.72 28.25 Å³ per atom.
ΔE_f? In order: -40 -40 kJ/mol of atoms.